Version 1
Below is an optimized crystal structure of SrScMo2, with properties calculated at the PBE level.

Cell: 4.8916 4.8916 4.8916 Å, 120.14 120.14 89.77°
Fractional positions:
Sr  0.7500  0.2500  0.5000
Mo  0.2500  0.7500  0.5000
Mo  0.0000  0.0000  0.0000
Sc  0.5000  0.5000  0.0000

Summary:
SG	I-4m2
crystal system	tetragonal


Version 2
Below is an optimized crystal structure of SrScMo2, with properties calculated at the PBE level.

Cell: 5.8248 5.8248 5.8248 Å, 144.64 133.66 59.61°
Fractional positions:
Mo  0.9921  0.9921  0.0000
Mo  0.5079  0.5079  0.0000
Sc  0.7500  0.2500  0.5000
Sr  0.2500  0.7500  0.5000

Summary:
SG	Immm
crystal system	orthorhombic


Version 3
Below is an optimized crystal structure of SrScMo2, with properties calculated at the PBE level.

Cell: 5.8141 5.8141 2.8356 Å, 87.81 87.81 120.71°
Fractional positions:
Mo  0.5000  0.5000  0.0000
Mo  0.0000  0.0000  0.0000
Sc  0.5000  0.0000  0.5000
Sr  0.0000  0.5000  0.5000

Summary:
SG	C2/m
crystal system	monoclinic


Version 4
Below is an optimized crystal structure of SrScMo2, with properties calculated at the PBE level.

Cell: 2.8496 2.8496 10.1205 Å, 90.00 90.00 90.00°
Fractional positions:
Sr  0.5000  0.5000  0.7500
Mo  0.0000  0.0000  0.0249
Mo  0.0000  0.0000  0.4751
Sc  0.5000  0.5000  0.2500

Summary:
SG	P4/mmm
crystal system	tetragonal


Verdict on stability: version 2 comes out at the bottom.


Version 1
Below is an optimized crystal structure of Sc2Tc2Mo, with properties calculated at the PBE level.

Cell: 6.4294 6.4294 4.5203 Å, 90.00 90.00 90.00°
Fractional positions:
Sc  0.6761  0.8239  0.5000
Sc  0.8239  0.3239  0.5000
Sc  0.3239  0.1761  0.5000
Sc  0.1761  0.6761  0.5000
Tc  0.8668  0.6332  0.0000
Tc  0.6332  0.1332  0.0000
Tc  0.1332  0.3668  0.0000
Tc  0.3668  0.8668  0.0000
Mo  0.0000  0.0000  0.0000
Mo  0.5000  0.5000  0.0000

Summary:
SG	P4/mbm
crystal system	tetragonal


Version 2
Below is an optimized crystal structure of Sc2Tc2Mo, with properties calculated at the PBE level.

Cell: 3.7782 3.7782 6.9215 Å, 74.16 74.16 90.00°
Fractional positions:
Tc  0.5932  0.5932  0.8135
Tc  0.4068  0.4068  0.1865
Sc  0.7500  0.2500  0.5000
Sc  0.2500  0.7500  0.5000
Mo  0.0000  0.0000  0.0000

Summary:
SG	I4/mmm
crystal system	tetragonal


Verdict on stability: version 2 comes out at the bottom.


Version 1
Below is an optimized crystal structure of ScZn2TcMo, with properties calculated at the PBE level.

Cell: 4.8363 4.5716 4.8363 Å, 90.00 90.00 90.00°
Last column: magnetic moment on the atom in μB.
Fractional positions:
Zn  0.5000  0.0000  0.0000  0.01
Zn  0.0000  0.0000  0.5000  0.00
Mo  0.0000  0.0000  0.0000  0.02
Sc  0.5000  0.5000  0.5000  -0.07
Tc  0.0000  0.5000  0.0000  0.59

Summary:
SG	P4/mmm
crystal system	tetragonal


Version 2
Below is an optimized crystal structure of ScZn2TcMo, with properties calculated at the PBE level.

Cell: 4.7730 4.6150 4.7730 Å, 90.00 90.00 90.00°
Fractional positions:
Mo  0.0000  0.5000  0.0000
Zn  0.0000  0.0000  0.5000
Zn  0.5000  0.0000  0.0000
Tc  0.0000  0.0000  0.0000
Sc  0.5000  0.5000  0.5000

Summary:
SG	P4/mmm
crystal system	tetragonal


Verdict on stability: version 1 comes out at the bottom.


Version 1
Below is an optimized crystal structure of ThScMo, with properties calculated at the PBE level.

Cell: 3.5352 3.5352 6.1069 Å, 106.82 106.82 90.00°
Fractional positions:
Sc  0.0233  0.0233  0.0467
Mo  0.6639  0.6639  0.3278
Th  0.3128  0.3128  0.6255

Summary:
SG	I4mm
crystal system	tetragonal


Version 2
Below is an optimized crystal structure of ThScMo, with properties calculated at the PBE level.

Cell: 6.2718 7.1548 7.3282 Å, 90.00 90.00 115.99°
Fractional positions:
Th  0.7986  0.5972  0.3988
Th  0.2014  0.4028  0.6012
Th  0.7014  0.4028  0.8988
Th  0.2986  0.5972  0.1012
Sc  0.7129  0.9257  0.7500
Sc  0.2129  0.9257  0.7500
Sc  0.7871  0.0743  0.2500
Sc  0.2871  0.0743  0.2500
Mo  0.3849  0.7697  0.4445
Mo  0.6151  0.2303  0.5555
Mo  0.8849  0.7697  0.0555
Mo  0.1151  0.2303  0.9445

Summary:
SG	Cmce
crystal system	orthorhombic


Verdict on stability: version 1 comes out at the bottom.


Version 1
Below is an optimized crystal structure of Th2ScMo, with properties calculated at the PBE level.

Cell: 3.5973 3.5973 8.0033 Å, 90.00 90.00 90.00°
Fractional positions:
Th  0.0000  0.0000  0.2206
Th  0.0000  0.0000  0.7794
Sc  0.5000  0.5000  0.5000
Mo  0.5000  0.5000  0.0000

Summary:
SG	P4/mmm
crystal system	tetragonal


Version 2
Below is an optimized crystal structure of Th2ScMo, with properties calculated at the PBE level.

Cell: 3.4167 3.4167 10.8908 Å, 80.98 80.98 60.00°
Fractional positions:
Th  0.0972  0.0972  0.7085
Th  0.9028  0.9028  0.2915
Mo  0.5000  0.5000  0.5000
Sc  0.0000  0.0000  0.0000

Summary:
SG	R-3m
crystal system	trigonal


Verdict on stability: version 2 comes out at the bottom.


Version 1
Below is an optimized crystal structure of ScTiMo3, with properties calculated at the PBE level.

Cell: 4.6187 4.6187 4.6187 Å, 90.00 90.00 90.00°
Fractional positions:
Mo  0.0000  0.5000  0.0000
Mo  0.5000  0.0000  0.0000
Mo  0.0000  0.0000  0.5000
Ti  0.0000  0.0000  0.0000
Sc  0.5000  0.5000  0.5000

Summary:
SG	Pm-3m
crystal system	cubic


Version 2
Below is an optimized crystal structure of ScTiMo3, with properties calculated at the PBE level.

Cell: 4.5977 4.5977 4.5977 Å, 90.00 90.00 90.00°
Fractional positions:
Mo  0.5000  0.0000  0.0000
Mo  0.0000  0.0000  0.5000
Mo  0.0000  0.5000  0.0000
Sc  0.0000  0.0000  0.0000
Ti  0.5000  0.5000  0.5000

Summary:
SG	Pm-3m
crystal system	cubic


Verdict on stability: version 2 comes out at the bottom.


Version 1
Below is an optimized crystal structure of ScTi3Mo, with properties calculated at the PBE level.

Cell: 4.7600 4.7600 4.7600 Å, 90.00 90.00 90.00°
Fractional positions:
Ti  0.0000  0.5000  0.0000
Ti  0.5000  0.0000  0.0000
Ti  0.0000  0.0000  0.5000
Mo  0.0000  0.0000  0.0000
Sc  0.5000  0.5000  0.5000

Summary:
SG	Pm-3m
crystal system	cubic


Version 2
Below is an optimized crystal structure of ScTi3Mo, with properties calculated at the PBE level.

Cell: 4.5206 4.5206 4.5206 Å, 90.00 90.00 90.00°
Fractional positions:
Sc  0.0000  0.0000  0.0000
Mo  0.5000  0.5000  0.5000
Ti  0.0000  0.0000  0.5000
Ti  0.0000  0.5000  0.0000
Ti  0.5000  0.0000  0.0000

Summary:
SG	Pm-3m
crystal system	cubic


Verdict on stability: version 2 comes out at the bottom.


Version 1
Below is an optimized crystal structure of Sc2V2Mo, with properties calculated at the PBE level.

Cell: 3.8081 3.8081 6.7253 Å, 73.55 73.55 90.00°
Fractional positions:
Sc  0.7500  0.2500  0.5000
Sc  0.2500  0.7500  0.5000
V  0.5787  0.5787  0.8427
V  0.4213  0.4213  0.1573
Mo  0.0000  0.0000  0.0000

Summary:
SG	I4/mmm
crystal system	tetragonal


Version 2
Below is an optimized crystal structure of Sc2V2Mo, with properties calculated at the PBE level.

Cell: 6.2018 6.2018 4.7609 Å, 90.00 90.00 90.00°
Fractional positions:
Mo  0.5000  0.5000  0.0000
Mo  0.0000  0.0000  0.0000
Sc  0.6734  0.8266  0.5000
Sc  0.8266  0.3266  0.5000
Sc  0.1734  0.6734  0.5000
Sc  0.3266  0.1734  0.5000
V  0.8606  0.6394  0.0000
V  0.3606  0.8606  0.0000
V  0.1394  0.3606  0.0000
V  0.6394  0.1394  0.0000

Summary:
SG	P4/mbm
crystal system	tetragonal


Verdict on stability: version 1 comes out at the bottom.


Version 1
Below is an optimized crystal structure of ScVMo, with properties calculated at the PBE level.

Cell: 3.2148 3.2148 5.5233 Å, 106.92 106.92 90.00°
Fractional positions:
Mo  0.9262  0.9262  0.8524
Sc  0.6139  0.6139  0.2278
V  0.3099  0.3099  0.6198

Summary:
SG	I4mm
crystal system	tetragonal


Version 2
Below is an optimized crystal structure of ScVMo, with properties calculated at the PBE level.

Cell: 5.2889 5.2889 5.2889 Å, 89.39 60.91 120.21°
Last column: magnetic moment on the atom in μB.
Fractional positions:
Mo  0.0000  0.5000  0.0000  -0.06
Mo  0.5000  0.0000  0.0000  -0.06
Sc  0.7500  0.8755  0.3745  0.12
Sc  0.2500  0.1245  0.6255  0.12
V  0.0000  0.5000  0.5000  0.39
V  0.5000  0.5000  0.0000  0.39

Summary:
SG	Imma
crystal system	orthorhombic


Verdict on stability: version 1 comes out at the bottom.


Version 1
Below is an optimized crystal structure of ScVMo2W, with properties calculated at the PBE level.

Cell: 4.6660 4.0748 4.6660 Å, 90.00 90.00 90.00°
Fractional positions:
W  0.5000  0.5000  0.5000
Sc  0.0000  0.0000  0.0000
V  0.0000  0.5000  0.0000
Mo  0.0000  0.0000  0.5000
Mo  0.5000  0.0000  0.0000

Summary:
SG	P4/mmm
crystal system	tetragonal


Version 2
Below is an optimized crystal structure of ScVMo2W, with properties calculated at the PBE level.

Cell: 4.5306 4.4326 4.5306 Å, 90.00 90.00 90.00°
Fractional positions:
Mo  0.0000  0.0000  0.5000
Mo  0.5000  0.0000  0.0000
V  0.0000  0.0000  0.0000
Sc  0.0000  0.5000  0.0000
W  0.5000  0.5000  0.5000

Summary:
SG	P4/mmm
crystal system	tetragonal


Verdict on stability: version 1 comes out at the bottom.


Version 1
Below is an optimized crystal structure of ScMo2W, with properties calculated at the PBE level.

Cell: 9.0676 9.0676 9.0676 Å, 19.09 19.09 19.09°
Fractional positions:
Sc  0.5004  0.5004  0.5004
Mo  0.9988  0.9988  0.9988
Mo  0.2569  0.2569  0.2569
W  0.7439  0.7439  0.7439

Summary:
SG	R3m
crystal system	trigonal


Version 2
Below is an optimized crystal structure of ScMo2W, with properties calculated at the PBE level.

Cell: 2.7930 2.7930 9.2120 Å, 90.00 90.00 109.12°
Fractional positions:
Mo  0.5000  0.5000  0.2363
Mo  0.0000  0.0000  0.0007
Sc  0.0000  0.0000  0.4991
W  0.5000  0.5000  0.7639

Summary:
SG	Cmm2
crystal system	orthorhombic


Version 3
Below is an optimized crystal structure of ScMo2W, with properties calculated at the PBE level.

Cell: 5.3399 5.3399 5.3399 Å, 145.22 127.98 64.11°
Fractional positions:
Mo  0.0128  0.0128  0.0000
Mo  0.4872  0.4872  0.0000
W  0.2500  0.7500  0.5000
Sc  0.7500  0.2500  0.5000

Summary:
SG	Immm
crystal system	orthorhombic


Version 4
Below is an optimized crystal structure of ScMo2W, with properties calculated at the PBE level.

Cell: 5.4333 5.4333 5.4333 Å, 139.12 139.12 59.19°
Fractional positions:
Sc  0.5000  0.5000  0.0000
Mo  0.2500  0.7500  0.5000
Mo  0.0000  0.0000  0.0000
W  0.7500  0.2500  0.5000

Summary:
SG	I-4m2
crystal system	tetragonal


Verdict on stability: version 1 comes out at the bottom.


Version 1
Below is an optimized crystal structure of ScMo2W, with properties calculated at the PBE level.

Cell: 5.4150 5.3222 2.7841 Å, 79.61 80.81 117.84°
Fractional positions:
Mo  0.5000  0.0000  0.5000
Mo  0.0000  0.0000  0.0000
Sc  0.0000  0.5000  0.5000
W  0.5000  0.5000  0.0000

Summary:
SG	C2/m
crystal system	monoclinic


Version 2
Below is an optimized crystal structure of ScMo2W, with properties calculated at the PBE level.

Cell: 4.5638 2.7945 5.3632 Å, 79.26 90.00 90.00°
Fractional positions:
Mo  0.0000  0.0051  0.9985
Mo  0.5000  0.2248  0.2481
Sc  0.0000  0.4922  0.4986
W  0.5000  0.7779  0.7547

Summary:
SG	Pm
crystal system	monoclinic


Version 3
Below is an optimized crystal structure of ScMo2W, with properties calculated at the PBE level.

Cell: 3.1833 4.6628 4.5039 Å, 90.00 90.00 90.00°
Fractional positions:
W  0.0000  0.5000  0.5000
Sc  0.5000  0.0000  0.5000
Mo  0.0000  0.0000  0.0000
Mo  0.5000  0.5000  0.0000

Summary:
SG	Pmmm
crystal system	orthorhombic


Verdict on stability: version 3 comes out at the bottom.